No. 1
## Tb12Pr7Nd (PBE)

Data for a relaxed Tb12Pr7Nd crystal.

- space-group type = No. 204
- ΔE to the lowest computed polymorph (kJ/mol of atoms) = 36.9
- DFT total energy (eV per formula unit) = -81.64

Cell: 9.8875 9.8875 9.8875 Å, 109.47 109.47 109.47°
Positions (direct):
Pr (0.5000, 0.0000, 0.0000)
Pr (0.0000, 0.5000, 0.5000)
Pr (0.0000, 0.5000, 0.0000)
Pr (0.5000, 0.0000, 0.5000)
Pr (0.5000, 0.5000, 0.5000)
Pr (0.0000, 0.0000, 0.5000)
Pr (0.5000, 0.5000, 0.0000)
Tb (0.4987, 0.2490, 0.2497)
Tb (0.2490, 0.7503, 0.9992)
Tb (0.2497, 0.4987, 0.2490)
Tb (0.7503, 0.5013, 0.7510)
Tb (0.9992, 0.2490, 0.7503)
Tb (0.2490, 0.2497, 0.4987)
Tb (0.5013, 0.7510, 0.7503)
Tb (0.2497, 0.0008, 0.7510)
Tb (0.7510, 0.2497, 0.0008)
Tb (0.7510, 0.7503, 0.5013)
Tb (0.0008, 0.7510, 0.2497)
Tb (0.7503, 0.9992, 0.2490)
Nd (0.0000, 0.0000, 0.0000)

***

No. 2
## TbPr3Nd2 (PBE)

Data for a relaxed TbPr3Nd2 crystal.

- space-group type = No. 58
- ΔE to the lowest computed polymorph (kJ/mol of atoms) = 12.9
- DFT total energy (eV per formula unit) = -27.08

Cell: 3.4707 6.8495 18.0996 Å, 90.00 90.00 90.00°
Positions (direct):
Pr (0.5000, 0.5000, 0.5000)
Pr (0.0000, 0.0000, 0.0000)
Pr (0.0000, 0.2382, 0.6799)
Pr (0.0000, 0.7618, 0.3201)
Pr (0.5000, 0.2618, 0.1799)
Pr (0.5000, 0.7382, 0.8201)
Tb (0.0000, 0.0000, 0.5000)
Tb (0.5000, 0.5000, 0.0000)
Nd (0.5000, 0.7673, 0.1496)
Nd (0.0000, 0.7327, 0.6496)
Nd (0.5000, 0.2327, 0.8504)
Nd (0.0000, 0.2673, 0.3504)

***

No. 3
## Tb2Pr7Nd (PBE)

Data for a relaxed Tb2Pr7Nd crystal.

- space-group type = No. 65
- ΔE to the lowest computed polymorph (kJ/mol of atoms) = 0.0
- DFT total energy (eV per formula unit) = -43.90

Cell: 3.5410 10.5607 10.5607 Å, 109.11 90.00 90.00°
Positions (direct):
Pr (0.5000, 0.6140, 0.8747)
Pr (0.5000, 0.1253, 0.3860)
Pr (0.5000, 0.5000, 0.5000)
Pr (0.5000, 0.3860, 0.1253)
Pr (0.0000, 0.6777, 0.3223)
Pr (0.5000, 0.8747, 0.6140)
Pr (0.0000, 0.3223, 0.6777)
Tb (0.5000, 0.8323, 0.1677)
Tb (0.5000, 0.1677, 0.8323)
Nd (0.0000, 0.0000, 0.0000)

***

no.,E_form (eV/atom),magnetization (μB/cell),calculated volume (A^3/atom)
1,0.6074,0.00,37.2
2,0.2373,0.00,35.9
3,0.3585,0.00,37.3